{
  "formula": "RbMg3",
  "functional": "GGA-PBEsol",
  "state": "relaxed",
  "de_polymorph_ev_per_atom": 0.092,
  "space_group": "Fm-3m",
  "crystal_system": "cubic",
  "lattice": [[0.0000, 3.9682, 3.9682], [3.9682, 0.0000, 3.9682], [3.9682, 3.9682, 0.0000]],
  "species": ["Rb", "Mg", "Mg", "Mg"],
  "frac_coords": [[0.0000, 0.0000, 0.0000], [0.2500, 0.2500, 0.2500], [0.5000, 0.5000, 0.5000], [0.7500, 0.7500, 0.7500]]
}

***

{
  "formula": "RbMg3",
  "functional": "GGA-PBEsol",
  "state": "relaxed",
  "de_polymorph_ev_per_atom": 0.000,
  "space_group": "P2/m",
  "crystal_system": "monoclinic",
  "lattice": [[3.2325, 0.0000, 0.0000], [0.0000, 4.7002, 0.0000], [-0.6109, 0.0000, 8.2663]],
  "species": ["Rb", "Mg", "Mg", "Mg"],
  "frac_coords": [[0.0000, 0.0000, 0.0000], [0.0000, 0.0000, 0.5000], [0.4976, 0.5000, 0.3178], [0.5024, 0.5000, 0.6822]]
}

***

{
  "formula": "Rb3Mg",
  "functional": "GGA-PBEsol",
  "state": "relaxed",
  "space_group": "Immm",
  "crystal_system": "orthorhombic",
  "lattice": [[-2.9641, 3.3237, 6.1985], [2.9641, -3.3237, 6.1985], [2.9641, 3.3237, -6.1985]],
  "species": ["Rb", "Rb", "Rb", "Mg"],
  "frac_coords": [[0.0000, 0.0000, 0.0000], [0.2645, 0.7645, 0.5000], [0.7355, 0.2355, 0.5000], [0.5000, 0.5000, 0.0000]]
}

***

Number 1: DOS(E_F) 0.844 states/eV/atom, DFT formation energy 0.29 eV per atom. Number 2: DOS(E_F) 0.649 states/eV/atom, DFT formation energy 0.20 eV per atom. Number 3: DOS(E_F) 0.714 states/eV/atom, DFT formation energy 0.17 eV per atom.